(1)
Density functional theory data (PBE) for a geometry-optimized CaInCo2 structure.

```
data_CaInCo2
_symmetry_space_group_name_H-M 'P 4 m m'
_symmetry_Int_Tables_number 99
_cell_length_a 3.145
_cell_length_b 3.145
_cell_length_c 7.383
_cell_angle_alpha 90.00
_cell_angle_beta 90.00
_cell_angle_gamma 90.00
loop_
_symmetry_equiv_pos_as_xyz
'x,y,z'
'-y,x,z'
'-x,-y,z'
'y,-x,z'
'-x,y,z'
'y,x,z'
'x,-y,z'
'-y,-x,z'
loop_
_atom_site_label
_atom_site_type_symbol
_atom_site_fract_x
_atom_site_fract_y
_atom_site_fract_z
Ca1 Ca 0.000 0.000 0.000
In1 In 0.500 0.500 0.657
Co1 Co 0.000 0.000 0.412
Co2 Co 0.500 0.500 0.285
```

Output
DFT formation energy in meV/atom: 86

***

(2)
Density functional theory data (PBE) for a geometry-optimized MgSn3H structure.

```
data_MgSn3H
_symmetry_space_group_name_H-M 'P m -3 m'
_symmetry_Int_Tables_number 221
_symmetry_space_group_name_Hall '-P 4 2 3'
_cell_length_a 4.760
_cell_length_b 4.760
_cell_length_c 4.760
_cell_angle_alpha 90.00
_cell_angle_beta 90.00
_cell_angle_gamma 90.00
loop_
_atom_site_label
_atom_site_type_symbol
_atom_site_fract_x
_atom_site_fract_y
_atom_site_fract_z
Mg1 Mg 0.000 0.000 0.000
Sn1 Sn 0.000 0.500 0.500
H1 H 0.500 0.500 0.500
```

Output
Energy above the most stable polymorph in this dataset in meV/atom: 0.0

***

(3)
Density functional theory data (PBE) for a geometry-optimized Tm4TcRh structure.

```
data_Tm4TcRh
_symmetry_space_group_name_H-M 'I 41 m d'
_symmetry_Int_Tables_number 109
_symmetry_space_group_name_Hall 'I 4bw -2'
_cell_length_a 8.947
_cell_length_b 8.947
_cell_length_c 8.258
_cell_angle_alpha 90.00
_cell_angle_beta 90.00
_cell_angle_gamma 90.00
loop_
_atom_site_label
_atom_site_type_symbol
_atom_site_fract_x
_atom_site_fract_y
_atom_site_fract_z
Tm1 Tm 0.000 0.299 0.000
Tm2 Tm 0.000 0.303 0.494
Tc1 Tc 0.000 0.000 0.997
Rh1 Rh 0.000 0.000 0.498
```

Output
DFT formation energy in meV/atom: -206
Energy above the most stable polymorph in this dataset in meV/atom: 221.8

***

(4)
Density functional theory data (PBE) for a geometry-optimized LiThGa2Au4 structure.

```
data_LiThGa2Au4
_symmetry_space_group_name_H-M 'R -3 m'
_symmetry_Int_Tables_number 166
_symmetry_space_group_name_Hall '-R 3 2"'
_cell_length_a 4.5251
_cell_length_b 4.5251
_cell_length_c 25.9436
_cell_angle_alpha 90.00
_cell_angle_beta 90.00
_cell_angle_gamma 120.00
loop_
_atom_site_label
_atom_site_type_symbol
_atom_site_fract_x
_atom_site_fract_y
_atom_site_fract_z
Li1 Li 0.0000 0.0000 0.0000
Th1 Th 0.0000 0.0000 0.5000
Ga1 Ga 0.0000 0.0000 0.2605
Au1 Au 0.0000 0.0000 0.1047
Au2 Au 0.0000 0.0000 0.3667
```

Output
DFT formation energy in meV/atom: -523

***

- Which formula does entry 3 have?
  Tm4TcRh

***

Please write out number 2 again, unchanged.
Density functional theory data (PBE) for a geometry-optimized MgSn3H structure.

```
data_MgSn3H
_symmetry_space_group_name_H-M 'P m -3 m'
_symmetry_Int_Tables_number 221
_symmetry_space_group_name_Hall '-P 4 2 3'
_cell_length_a 4.760
_cell_length_b 4.760
_cell_length_c 4.760
_cell_angle_alpha 90.00
_cell_angle_beta 90.00
_cell_angle_gamma 90.00
loop_
_atom_site_label
_atom_site_type_symbol
_atom_site_fract_x
_atom_site_fract_y
_atom_site_fract_z
Mg1 Mg 0.000 0.000 0.000
Sn1 Sn 0.000 0.500 0.500
H1 H 0.500 0.500 0.500
```

Output
Energy above the most stable polymorph in this dataset in meV/atom: 0.0